Material: LiMnClF2
Method: DFT, GGA+U
State: optimized geometry

Cell and atoms, written as extended XYZ:
```
5
Lattice="4.082 0.000 0.000 0.000 4.082 0.000 0.000 0.000 5.351" Properties=species:S:1:pos:R:3 pbc="T T T"
Li 0.000 0.000 0.000
Mn 2.041 2.041 2.675
Cl 2.041 2.041 0.000
F 0.000 2.041 2.675
F 2.041 0.000 2.675
```

Values from the calculation:
E above lowest polymorph = 0.205 eV/atom
Calculated density = 2520 kg/m3
Space group = No. 123
Final energy = -5.14 eV per atom